This record from the Alexandria database describes crystalline CaPmAgCl6 at its relaxed geometry. The functional is PBE-GGA.

Cell lengths 7.0166, 7.0166, 12.1045 Å; angles 90.00, 90.00, 120.00 degrees
Space group P-31c (No. 163)
Unique sites:
Ca (0.3333, 0.6667, 0.2500) (multiplicity 2)
Pm (0.3333, 0.6667, 0.7500) (multiplicity 2)
Ag (0.0000, 0.0000, 0.0000) (multiplicity 2)
Cl (0.0022, 0.3440, 0.6271) (multiplicity 12)

Output
For the calculated volume, the calculation gives 516.10 Å³/cell. The formation energy (no corrections) is -1.8816 eV/atom. Its total energy is -75.23 eV/cell.